Material: FeSe2
Method: DFT, GGA-PBE
State: relaxed

Results
Size of the total moment ... 0.0 μB/f.u.
Volume ... 16.8 Å³/atom
Total DFT energy (no corrections) ... -5.092 eV per atom

Structure (CIF):
```
data_FeSe2
_chemical_formula_sum 'Fe4 Se8'
_space_group_name_H-M_alt 'F m -3 m'
_space_group_IT_number 225
_space_group_name_Hall '-F 4 2 3'
_cell_length_a 5.8683
_cell_length_b 5.8683
_cell_length_c 5.8683
_cell_angle_alpha 90.00
_cell_angle_beta 90.00
_cell_angle_gamma 90.00
loop_
_atom_site_label
_atom_site_type_symbol
_atom_site_fract_x
_atom_site_fract_y
_atom_site_fract_z
Fe1 Fe 0.0000 0.0000 0.0000
Se1 Se 0.2500 0.2500 0.2500
```